(1)
The following is a DFT calculation (PBE) of crystalline Ca3Pr2Pd4 at its relaxed geometry.

Cell: 7.9256 7.9094 7.6002 Å, 90.00 108.67 90.00°
Space group P2_1/c (No. 14)
Symmetry-distinct sites (fractional):
Ca 0.0000 0.0000 0.0000 [2 per cell]
Ca 0.2526 0.1745 0.7532 [4 per cell]
Pr 0.3069 0.6800 0.9316 [4 per cell]
Pd 0.0227 0.6302 0.1295 [4 per cell]
Pd 0.4255 0.0277 0.1501 [4 per cell]

Summary:
DOS(E_F) (states/eV per cell): 7.3
E_tot (eV/atom): -4.722


(2)
The following is a DFT calculation (PBE) of crystalline ScMn2Si at its relaxed geometry.

Cell: 5.3884 8.3111 2.7270 Å, 90.00 115.43 90.00°
Space group C2/m (No. 12)
Symmetry-distinct sites (fractional):
Sc 0.0000 0.0000 0.0000 [2 per cell]
Mn 0.2500 0.2500 0.5000 [4 per cell]
Si 0.0000 0.5000 0.0000 [2 per cell]

Summary:
DOS(E_F) (states/eV per cell): 8.2
Uncorrected formation energy (eV per atom): 0.005
E_tot (eV/atom): -7.519


(3)
The following is a DFT calculation (PBE) of crystalline Na5Ge3Br12 at its relaxed geometry.

Cell: 17.0584 17.0584 17.0584 Å, 90.00 90.00 90.00°
Space group Ia-3d (No. 230)
Symmetry-distinct sites (fractional):
Na 0.0000 0.0000 0.0000 [16 per cell]
Na 0.0000 0.2500 0.3750 [24 per cell]
Ge 0.0000 0.2500 0.1250 [24 per cell]
Br 0.0255 0.0814 0.6504 [96 per cell]

Summary:
DOS(E_F) (states/eV per cell): 202.8
Uncorrected formation energy (eV per atom): -0.806
E_tot (eV/atom): -2.832


(4)
The following is a DFT calculation (PBE) of crystalline Pm5Sn2Pd2 at its relaxed geometry.

Cell: 15.6311 8.4552 7.7810 Å, 90.00 90.00 90.00°
Space group Cmce (No. 64)
Symmetry-distinct sites (fractional):
Pm 0.0000 0.0000 0.0000 [4 per cell]
Pm 0.1265 0.1768 0.3418 [16 per cell]
Sn 0.2093 0.0000 0.0000 [8 per cell]
Pd 0.0000 0.1225 0.6308 [8 per cell]

Summary:
DOS(E_F) (states/eV per cell): 27.9
E_tot (eV/atom): -5.342


(5)
The following is a DFT calculation (PBE) of crystalline Tm4TlPt2 at its relaxed geometry.

Cell: 4.5118 4.5118 31.6514 Å, 90.00 90.00 120.00°
Space group R-3m (No. 166, hexagonal axes)
Symmetry-distinct sites (fractional):
Tm 0.0000 0.0000 0.1085 [6 per cell]
Tm 0.0000 0.0000 0.3004 [6 per cell]
Tl 0.0000 0.0000 0.5000 [3 per cell]
Pt 0.0000 0.0000 0.3971 [6 per cell]

Summary:
DOS(E_F) (states/eV per cell): 20.9
Polymorph energy (0 for the lowest one) (meV/atom): 10
E_tot (eV/atom): -5.386


(6)
The following is a DFT calculation (PBE) of crystalline B2PtRh at its relaxed geometry.

Cell: 3.2588 3.2588 14.5582 Å, 90.00 90.00 120.00°
Space group R-3m (No. 166, hexagonal axes)
Symmetry-distinct sites (fractional):
B 0.0000 0.0000 0.2499 [6 per cell]
Pt 0.0000 0.0000 0.0000 [3 per cell]
Rh 0.0000 0.0000 0.5000 [3 per cell]

Summary:
DOS(E_F) (states/eV per cell): 5.8
Polymorph energy (0 for the lowest one) (meV/atom): 141
E_tot (eV/atom): -6.533


(7)
The following is a DFT calculation (PBE) of crystalline Cu2SnPdBr at its relaxed geometry.

Cell: 4.8930 4.8930 5.1884 Å, 90.00 90.00 90.00°
Space group P4/mmm (No. 123)
Symmetry-distinct sites (fractional):
Cu 0.0000 0.5000 0.0000 [2 per cell]
Sn 0.0000 0.0000 0.0000 [1 per cell]
Pd 0.0000 0.0000 0.5000 [1 per cell]
Br 0.5000 0.5000 0.5000 [1 per cell]

Summary:
DOS(E_F) (states/eV per cell): 3.0
Uncorrected formation energy (eV per atom): 0.639
E_tot (eV/atom): -3.173


(8)
The following is a DFT calculation (PBE) of crystalline Nb3OsS at its relaxed geometry.

Cell: 4.5022 4.5022 4.5022 Å, 90.00 90.00 90.00°
Space group Pm-3m (No. 221)
Symmetry-distinct sites (fractional):
Nb 0.0000 0.0000 0.5000 [3 per cell]
Os 0.5000 0.5000 0.5000 [1 per cell]
S 0.0000 0.0000 0.0000 [1 per cell]

Summary:
DOS(E_F) (states/eV per cell): 5.9
Uncorrected formation energy (eV per atom): 0.391
Polymorph energy (0 for the lowest one) (meV/atom): 0
E_tot (eV/atom): -8.722


Q: Among the records above, which one has the lowest E_tot?
A: Nb3OsS


Q: Among the records above, which one has the highest DOS(E_F)?
A: Na5Ge3Br12